A plane-wave DFT calculation with PBE-GGA was carried out for an optimized crystal structure of PaHS2.

It has space group Cm (No. 8), with a = 6.607 Å, b = 3.815 Å, c = 7.112 Å, α = 90.00°, β = 108.12° and γ = 90.00°. The inequivalent atoms are Pa at (0.000, 0.000, 0.000), H at (0.333, 0.000, 0.001), S at (0.086, 0.500, 0.759) and S at (0.248, 0.500, 0.241).

Its total moment is 0.00 μB/f.u. The value obtained for the density is 5.77 Mg/m³. As for the energy above the lowest structure with this stoichiometry: 0.000 eV per atom. The electronic total energy is -6.546 eV per atom.